# 1
First-principles (GGA-PBE) data for an optimized crystal structure of HoCd9Ag2, as listed in Alexandria.

It has space group I4_1/amd (No. 141, origin choice 2), with a = 11.857 Å, b = 11.857 Å, c = 7.527 Å, α = 90.00°, β = 90.00° and γ = 90.00°. The distinct sites, in fractional coordinates, are Ho at (0.000, 0.250, 0.375), Cd at (0.000, 0.250, 0.875), Cd at (0.120, 0.051, 0.673) and Ag at (0.000, 0.000, 0.000).

The magnetization comes out at 0.0 Bohr magnetons per cell. The energy relative to the elements comes out at -85 meV per atom. Its calculated density is 8.7 g/cm³. The raw total energy comes out at -1.6276 eV per atom.

# 2
First-principles (GGA-PBE) data for an optimized crystal structure of ZnMo2Au, as listed in Alexandria.

It has space group Pm (No. 6), with a = 2.747 Å, b = 4.363 Å, c = 5.396 Å, α = 90.00°, β = 97.03° and γ = 90.00°. The distinct sites, in fractional coordinates, are Zn at (0.000, 0.000, 0.000), Mo at (0.418, 0.500, 0.767), Mo at (0.625, 0.000, 0.525) and Au at (0.066, 0.500, 0.255).

The magnetization comes out at 0.0 Bohr magnetons per cell. The energy relative to the elements comes out at 117 meV per atom. Its calculated density is 11.8 g/cm³. The raw total energy comes out at -6.4362 eV per atom.

# 3
First-principles (GGA-PBE) data for an optimized crystal structure of Tm2LuBi, as listed in Alexandria.

It has space group R-3m (No. 166, hexagonal axes), with a = 3.5682 Å, b = 3.5682 Å, c = 32.1440 Å, α = 90.00°, β = 90.00° and γ = 120.00°. The distinct sites, in fractional coordinates, are Tm at (0.0000, 0.0000, 0.2480), Lu at (0.0000, 0.0000, 0.0000) and Bi at (0.0000, 0.0000, 0.5000).

The magnetization comes out at 0.0 Bohr magnetons per cell. The energy relative to the elements comes out at -179 meV per atom. Its calculated density is 10.1 g/cm³. The raw total energy comes out at -4.5150 eV per atom.

# 4
First-principles (GGA-PBE) data for an optimized crystal structure of TaCr2H, as listed in Alexandria.

It has space group Fm-3m (No. 225), with a = 5.922 Å, b = 5.922 Å, c = 5.922 Å, α = 90.00°, β = 90.00° and γ = 90.00°. The distinct sites, in fractional coordinates, are Ta at (0.000, 0.000, 0.000), Cr at (0.250, 0.250, 0.250) and H at (0.000, 0.000, 0.500).

The magnetization comes out at 16.7 Bohr magnetons per cell. Its calculated density is 9.1 g/cm³. The raw total energy comes out at -7.6122 eV per atom.

Number 1: DOS at the Fermi energy 12.058 states/eV per cell. Number 2: DOS at the Fermi energy 2.166 states/eV per cell. Number 3: DOS at the Fermi energy 11.960 states/eV per cell. Number 4: DOS at the Fermi energy 18.390 states/eV per cell.